Li2Zn16Cd PBE-GGA optimized geometry; SG = R3m, No. 160; mass density = 6.3 g/cm³; size of the total moment = 0.0 μB/f.u.; calculated formation energy = -0.04 eV per atom; density of states at the Fermi level = 0.251 states/eV/atom
1.0
4.517 2.608 4.389
-4.517 2.608 4.389
0.000 -5.216 4.389
Li Zn Cd
2 16 1
Cartesian
0.000 0.000 0.000 Li
0.000 0.000 4.193 Li
0.000 -2.493 2.221 Zn
-2.159 1.246 2.221 Zn
-2.212 -1.277 6.439 Zn
0.000 -2.644 6.283 Zn
-2.290 1.322 6.283 Zn
-1.419 -2.442 8.632 Zn
-2.824 -0.008 8.632 Zn
2.159 1.246 2.221 Zn
0.000 0.000 7.143 Zn
2.212 -1.277 6.439 Zn
0.000 2.554 6.439 Zn
1.419 -2.442 8.632 Zn
-1.406 2.450 8.632 Zn
2.290 1.322 6.283 Zn
2.824 -0.008 8.632 Zn
1.406 2.450 8.632 Zn
0.000 0.000 9.932 Cd

TaAgRu3 PBE-GGA optimized geometry; energy above the most stable polymorph in this dataset = 0.000 eV per atom; SG = Pm-3m, No. 221; mass density = 9.3 g/cm³; size of the total moment = 3.2 μB/f.u.; calculated formation energy = 1.48 eV per atom; density of states at the Fermi level = 0.890 states/eV/atom
1.0
4.730 0.000 0.000
0.000 4.730 0.000
0.000 0.000 4.730
Ta Ag Ru
1 1 3
Cartesian
0.000 0.000 0.000 Ta
2.365 2.365 2.365 Ag
0.000 0.000 2.365 Ru
0.000 2.365 0.000 Ru
2.365 0.000 0.000 Ru

Nd3Te2Se PBE-GGA optimized geometry; energy above the most stable polymorph in this dataset = 0.040 eV per atom; SG = P6_3/mmc, No. 194; mass density = 6.9 g/cm³; size of the total moment = 0.0 μB/f.u.; formation energy (no corrections) = -1.51 eV per atom; density of states at the Fermi level = 0.465 states/eV/atom
1.0
4.358 0.000 0.000
-2.179 3.774 0.000
0.000 0.000 22.416
Nd Te Se
6 4 2
Cartesian
0.000 0.000 0.000 Nd
0.000 0.000 11.208 Nd
0.000 2.516 3.787 Nd
0.000 2.516 7.421 Nd
2.179 1.258 14.995 Nd
2.179 1.258 18.630 Nd
0.000 2.516 13.117 Te
0.000 2.516 20.507 Te
2.179 1.258 1.909 Te
2.179 1.258 9.299 Te
0.000 0.000 5.604 Se
0.000 0.000 16.812 Se

Al2ReSe PBE-GGA optimized geometry; SG = Cm, No. 8; mass density = 7.8 g/cm³; size of the total moment = 0.3 μB/f.u.; formation energy (no corrections) = 0.02 eV per atom; density of states at the Fermi level = 0.670 states/eV/atom
1.0
9.966 0.000 0.000
0.000 2.978 0.000
-1.314 0.000 4.559
Al Re Se
4 2 2
Cartesian
0.000 0.000 0.000 Al
1.320 0.000 2.872 Al
4.983 1.489 0.000 Al
6.303 1.489 2.872 Al
2.192 1.489 0.479 Re
7.175 0.000 0.479 Re
3.625 0.000 1.935 Se
8.608 1.489 1.935 Se

Ac2La5Sm12 PBE-GGA optimized geometry; SG = C2/m, No. 12; mass density = 7.0 g/cm³; size of the total moment = 0.0 μB/f.u.; calculated formation energy = 0.11 eV per atom; density of states at the Fermi level = 1.593 states/eV/atom
1.0
7.978 -5.385 0.000
7.978 5.385 0.000
-7.919 0.000 8.112
Ac La Sm
2 5 12
Cartesian
7.978 2.688 0.000 Ac
7.978 -2.688 0.000 Ac
-3.959 0.000 4.056 La
1.211 0.000 2.637 La
-0.739 0.000 5.730 La
8.776 0.000 2.382 La
6.826 0.000 5.475 La
3.251 2.913 1.547 Sm
-5.606 0.000 7.298 Sm
1.588 2.879 4.829 Sm
6.450 2.879 3.283 Sm
5.393 0.000 1.080 Sm
4.787 2.913 6.565 Sm
3.251 -2.913 1.547 Sm
2.645 0.000 7.032 Sm
1.588 -2.879 4.829 Sm
6.450 -2.879 3.283 Sm
13.643 0.000 0.814 Sm
4.787 -2.913 6.565 Sm

LuAgHg PBE-GGA optimized geometry; SG = F-43m, No. 216; mass density = 10.7 g/cm³; size of the total moment = 0.0 μB/f.u.; calculated formation energy = -0.15 eV per atom; density of states at the Fermi level = 0.747 states/eV/atom
1.0
6.698 0.000 0.000
0.000 6.698 0.000
0.000 0.000 6.698
Lu Ag Hg
4 4 4
Cartesian
0.000 0.000 0.000 Lu
0.000 3.349 3.349 Lu
3.349 0.000 3.349 Lu
3.349 3.349 0.000 Lu
1.675 1.675 5.024 Ag
1.675 5.024 1.675 Ag
5.024 1.675 1.675 Ag
5.024 5.024 5.024 Ag
0.000 0.000 3.349 Hg
0.000 3.349 0.000 Hg
3.349 0.000 0.000 Hg
3.349 3.349 3.349 Hg

LiPrNiSn2 PBE-GGA optimized geometry; SG = I-4m2, No. 119; mass density = 6.8 g/cm³; size of the total moment = 0.0 μB/f.u.; calculated formation energy = -0.51 eV per atom; density of states at the Fermi level = 0.645 states/eV/atom
1.0
4.424 0.000 0.000
0.000 4.424 0.000
0.000 0.000 11.040
Li Pr Ni Sn
2 2 2 4
Cartesian
0.000 0.000 0.000 Li
2.212 2.212 5.520 Li
0.000 2.212 8.280 Pr
2.212 0.000 2.760 Pr
0.000 0.000 5.520 Ni
2.212 2.212 0.000 Ni
0.000 2.212 1.328 Sn
0.000 2.212 4.192 Sn
2.212 0.000 6.848 Sn
2.212 0.000 9.712 Sn

FeCu2Pb PBE-GGA optimized geometry; SG = R-3m, No. 166; mass density = 9.4 g/cm³; size of the total moment = 3.0 μB/f.u.; calculated formation energy = 0.53 eV per atom; density of states at the Fermi level = 0.831 states/eV/atom
1.0
3.076 0.000 0.000
-1.538 2.664 0.000
0.000 0.000 25.368
Fe Cu Pb
3 6 3
Cartesian
0.000 0.000 0.000 Fe
0.000 1.776 16.912 Fe
1.538 0.888 8.456 Fe
0.000 0.000 6.666 Cu
0.000 0.000 18.702 Cu
0.000 1.776 10.246 Cu
0.000 1.776 23.578 Cu
1.538 0.888 1.790 Cu
1.538 0.888 15.122 Cu
0.000 0.000 12.684 Pb
0.000 1.776 4.228 Pb
1.538 0.888 21.140 Pb

Pa2GaFe PBE-GGA optimized geometry; energy above the most stable polymorph in this dataset = 0.136 eV per atom; SG = R-3m, No. 166; mass density = 11.9 g/cm³; size of the total moment = 0.0 μB/f.u.; calculated formation energy = 0.01 eV per atom; density of states at the Fermi level = 1.434 states/eV/atom
1.0
4.483 0.000 0.000
-2.241 3.882 0.000
0.000 0.000 14.135
Pa Ga Fe
6 3 3
Cartesian
0.000 0.000 3.394 Pa
0.000 0.000 10.741 Pa
0.000 2.588 6.029 Pa
0.000 2.588 12.817 Pa
2.241 1.294 1.318 Pa
2.241 1.294 8.106 Pa
0.000 0.000 0.000 Ga
0.000 2.588 9.423 Ga
2.241 1.294 4.712 Ga
0.000 0.000 7.067 Fe
0.000 2.588 2.356 Fe
2.241 1.294 11.779 Fe

InAgGe PBE-GGA optimized geometry; SG = P-1, No. 2; mass density = 7.7 g/cm³; size of the total moment = 0.0 μB/f.u.; calculated formation energy = 0.17 eV per atom; density of states at the Fermi level = 0.410 states/eV/atom
1.0
3.052 0.000 0.000
0.010 6.575 0.000
1.517 1.296 6.341
In Ag Ge
2 2 2
Cartesian
0.758 2.368 2.716 In
3.822 5.504 3.625 In
2.282 1.135 5.056 Ag
2.297 6.736 1.285 Ag
0.769 4.350 0.606 Ge
3.811 3.522 5.735 Ge

Ba2PAu PBE-GGA optimized geometry; SG = R-3m, No. 166; mass density = 5.5 g/cm³; size of the total moment = 0.0 μB/f.u.; calculated formation energy = -0.88 eV per atom
1.0
4.719 0.000 0.000
-2.360 4.087 0.000
0.000 0.000 23.491
Ba P Au
6 3 3
Cartesian
0.000 0.000 5.609 Ba
0.000 0.000 17.882 Ba
0.000 2.725 10.052 Ba
0.000 2.725 21.269 Ba
2.360 1.362 2.222 Ba
2.360 1.362 13.439 Ba
0.000 0.000 11.746 P
0.000 2.725 3.915 P
2.360 1.362 19.576 P
0.000 0.000 0.000 Au
0.000 2.725 15.661 Au
2.360 1.362 7.830 Au

La8GeOs3Cl4 PBE-GGA optimized geometry; SG = R-3m, No. 166; mass density = 6.7 g/cm³; size of the total moment = 0.0 μB/f.u.; formation energy (no corrections) = -1.03 eV per atom; density of states at the Fermi level = 0.647 states/eV/atom
1.0
4.241 2.448 7.515
-4.241 2.448 7.515
0.000 -4.897 7.515
La Ge Os Cl
8 1 3 4
Cartesian
-2.225 -1.285 12.795 La
0.000 0.000 5.378 La
0.000 -2.569 9.751 La
-2.225 1.285 9.751 La
2.225 -1.285 12.795 La
0.000 2.569 12.795 La
0.000 0.000 17.168 La
2.225 1.285 9.751 La
0.000 0.000 11.273 Ge
-4.241 0.000 11.273 Os
-2.120 1.224 3.758 Os
2.120 1.224 3.758 Os
0.000 0.000 0.000 Cl
-2.120 -1.224 7.515 Cl
-2.120 1.224 15.031 Cl
0.000 2.448 7.515 Cl

KThGa2Cl8 PBE-GGA optimized geometry; SG = P2/m, No. 10; mass density = 2.9 g/cm³; size of the total moment = 0.7 μB/f.u.; formation energy (no corrections) = -1.50 eV per atom; density of states at the Fermi level = 0.384 states/eV/atom
1.0
6.574 0.000 0.000
0.000 8.918 0.000
-0.110 0.000 6.789
K Th Ga Cl
1 1 2 8
Cartesian
0.000 0.000 0.000 K
0.000 4.459 0.000 Th
3.232 1.990 3.394 Ga
3.232 6.928 3.394 Ga
1.458 2.492 1.176 Cl
1.458 6.426 1.176 Cl
1.600 4.459 4.730 Cl
1.956 0.000 4.392 Cl
4.508 0.000 2.397 Cl
4.864 4.459 2.059 Cl
5.006 2.492 5.613 Cl
5.006 6.426 5.613 Cl

TaNb2S5 PBE-GGA optimized geometry; energy above the most stable polymorph in this dataset = 0.141 eV per atom; SG = Fmmm, No. 69; mass density = 4.5 g/cm³; size of the total moment = 0.9 μB/f.u.; formation energy (no corrections) = -0.68 eV per atom; density of states at the Fermi level = 0.624 states/eV/atom
1.0
0.000 6.520 6.603
2.278 0.000 6.603
2.278 6.520 0.000
Ta Nb S
1 2 5
Cartesian
0.000 0.000 0.000 Ta
2.278 4.069 6.603 Nb
2.278 8.971 6.603 Nb
2.278 2.076 5.062 S
2.278 2.076 8.144 S
2.278 6.520 6.603 S
2.278 10.964 5.062 S
2.278 10.964 8.144 S

CoW3 PBE-GGA optimized geometry; energy above the most stable polymorph in this dataset = 0.000 eV per atom; SG = Cmmm, No. 65; mass density = 17.2 g/cm³; size of the total moment = 0.0 μB/f.u.; calculated formation energy = 0.08 eV per atom; density of states at the Fermi level = 0.594 states/eV/atom
1.0
3.294 0.000 0.000
0.000 4.300 0.000
0.000 0.000 8.343
Co W
2 6
Cartesian
0.000 0.000 0.000 Co
1.647 2.150 0.000 Co
0.000 0.000 4.172 W
0.000 2.150 1.903 W
0.000 2.150 6.441 W
1.647 0.000 1.903 W
1.647 0.000 6.441 W
1.647 2.150 4.172 W

MnSnRuRh PBE-GGA optimized geometry; SG = F-43m, No. 216; mass density = 10.2 g/cm³; size of the total moment = 4.1 μB/f.u.; calculated formation energy = -0.27 eV per atom; density of states at the Fermi level = 0.875 states/eV/atom
1.0
6.268 0.000 0.000
0.000 6.268 0.000
0.000 0.000 6.268
Mn Sn Ru Rh
4 4 4 4
Cartesian
0.000 0.000 0.000 Mn
0.000 3.134 3.134 Mn
3.134 0.000 3.134 Mn
3.134 3.134 0.000 Mn
0.000 0.000 3.134 Sn
0.000 3.134 0.000 Sn
3.134 0.000 0.000 Sn
3.134 3.134 3.134 Sn
1.567 1.567 4.701 Ru
1.567 4.701 1.567 Ru
4.701 1.567 1.567 Ru
4.701 4.701 4.701 Ru
1.567 1.567 1.567 Rh
1.567 4.701 4.701 Rh
4.701 1.567 4.701 Rh
4.701 4.701 1.567 Rh

Li4SmHg PBE-GGA optimized geometry; SG = F-43m, No. 216; mass density = 5.4 g/cm³; size of the total moment = 0.0 μB/f.u.; calculated formation energy = -0.11 eV per atom; density of states at the Fermi level = 0.581 states/eV/atom
1.0
0.000 3.881 3.881
3.881 0.000 3.881
3.881 3.881 0.000
Li Sm Hg
4 1 1
Cartesian
0.954 0.954 0.954 Li
2.927 2.927 0.954 Li
2.927 0.954 2.927 Li
0.954 2.927 2.927 Li
3.881 3.881 3.881 Sm
5.821 5.821 5.821 Hg

MnFeSi2 PBE-GGA optimized geometry; SG = I-42d, No. 122; mass density = 5.3 g/cm³; size of the total moment = 3.6 μB/f.u.; formation energy (no corrections) = 0.21 eV per atom; density of states at the Fermi level = 0.650 states/eV/atom
1.0
6.366 0.000 0.000
0.000 6.366 0.000
0.000 0.000 5.200
Mn Fe Si
4 4 8
Cartesian
0.000 0.000 0.000 Mn
0.000 3.183 1.300 Mn
3.183 0.000 3.900 Mn
3.183 3.183 2.600 Mn
0.000 0.000 2.600 Fe
0.000 3.183 3.900 Fe
3.183 0.000 1.300 Fe
3.183 3.183 0.000 Fe
1.487 1.591 3.250 Si
1.591 4.670 4.550 Si
1.591 4.879 1.950 Si
1.696 1.591 0.650 Si
4.670 4.774 0.650 Si
4.774 1.487 1.950 Si
4.774 1.696 4.550 Si
4.879 4.774 3.250 Si

SmDy3S4 PBE-GGA optimized geometry; energy above the most stable polymorph in this dataset = 0.014 eV per atom; SG = Pm-3m, No. 221; mass density = 7.4 g/cm³; size of the total moment = 0.0 μB/f.u.; formation energy (no corrections) = -1.98 eV per atom; density of states at the Fermi level = 0.550 states/eV/atom
1.0
5.562 0.000 0.000
0.000 5.562 0.000
0.000 0.000 5.562
Sm Dy S
1 3 4
Cartesian
0.000 0.000 0.000 Sm
0.000 2.781 2.781 Dy
2.781 0.000 2.781 Dy
2.781 2.781 0.000 Dy
0.000 0.000 2.781 S
0.000 2.781 0.000 S
2.781 0.000 0.000 S
2.781 2.781 2.781 S

ThZn9Ni3 PBE-GGA optimized geometry; SG = C2/m, No. 12; mass density = 8.5 g/cm³; size of the total moment = 0.0 μB/f.u.; calculated formation energy = -0.24 eV per atom; density of states at the Fermi level = 0.496 states/eV/atom
1.0
2.500 -6.246 0.000
2.500 6.246 0.000
-2.458 0.000 6.246
Th Zn Ni
1 9 3
Cartesian
0.000 0.000 0.000 Th
0.096 4.022 4.109 Zn
0.024 1.433 4.872 Zn
2.447 4.022 2.137 Zn
2.519 1.433 1.374 Zn
1.271 0.000 3.123 Zn
0.024 -1.433 4.872 Zn
0.096 -4.022 4.109 Zn
2.519 -1.433 1.374 Zn
2.447 -4.022 2.137 Zn
-1.229 0.000 3.123 Ni
1.250 3.123 0.000 Ni
1.250 -3.123 0.000 Ni

FeHg2Sb PBE-GGA optimized geometry; SG = R-3m, No. 166; mass density = 10.9 g/cm³; size of the total moment = 2.9 μB/f.u.; formation energy (no corrections) = 0.44 eV per atom; density of states at the Fermi level = 0.995 states/eV/atom
1.0
3.333 0.000 0.000
-1.667 2.887 0.000
0.000 0.000 27.596
Fe Hg Sb
3 6 3
Cartesian
0.000 0.000 0.000 Fe
0.000 1.924 18.397 Fe
1.667 0.962 9.199 Fe
0.000 0.000 7.185 Hg
0.000 0.000 20.411 Hg
0.000 1.924 11.212 Hg
0.000 1.924 25.583 Hg
1.667 0.962 2.013 Hg
1.667 0.962 16.384 Hg
0.000 0.000 13.798 Sb
0.000 1.924 4.599 Sb
1.667 0.962 22.997 Sb

P4C PBE-GGA optimized geometry; energy above the most stable polymorph in this dataset = 0.369 eV per atom; SG = Pm-3m, No. 221; mass density = 3.5 g/cm³; size of the total moment = 0.0 μB/f.u.; calculated formation energy = 1.25 eV per atom; density of states at the Fermi level = 0.740 states/eV/atom
1.0
4.028 0.000 0.000
0.000 4.028 0.000
0.000 0.000 4.028
P C
4 1
Cartesian
0.000 0.000 0.000 P
0.000 2.014 2.014 P
2.014 0.000 2.014 P
2.014 2.014 0.000 P
2.014 2.014 2.014 C

CaScOs2 PBE-GGA optimized geometry; energy above the most stable polymorph in this dataset = 0.232 eV per atom; SG = Pm, No. 6; mass density = 10.2 g/cm³; size of the total moment = 0.0 μB/f.u.; calculated formation energy = 0.35 eV per atom; density of states at the Fermi level = 1.203 states/eV/atom
1.0
2.976 0.000 0.000
0.000 4.309 0.000
-1.471 0.000 5.903
Ca Sc Os
1 1 2
Cartesian
0.000 0.000 0.000 Ca
-0.332 2.154 4.037 Sc
0.743 0.000 2.711 Os
1.779 2.154 1.683 Os

PrNd10Er6 PBE-GGA optimized geometry; SG = P-31m, No. 162; mass density = 7.4 g/cm³; size of the total moment = 0.0 μB/f.u.; calculated formation energy = 0.13 eV per atom; density of states at the Fermi level = 1.552 states/eV/atom
1.0
9.857 0.000 0.000
-4.928 8.536 0.000
0.000 0.000 6.919
Pr Nd Er
1 10 6
Cartesian
0.000 0.000 0.000 Pr
-1.373 2.378 2.217 Nd
-3.555 6.158 4.703 Nd
2.746 0.000 2.217 Nd
1.373 2.378 4.703 Nd
0.000 5.691 0.000 Nd
0.000 5.691 3.460 Nd
4.928 2.845 0.000 Nd
4.928 2.845 3.460 Nd
7.111 0.000 4.703 Nd
3.555 6.158 2.217 Nd
-1.819 3.150 5.627 Er
-3.110 5.386 1.293 Er
3.637 0.000 5.627 Er
1.819 3.150 1.293 Er
6.219 0.000 1.293 Er
3.110 5.386 5.627 Er